[1]
A geometry-optimized ScPtCS2 structure. Source: the Alexandria database, functional PBE.

M_tot, Bohr magnetons per cell: 0.0
Crystal system: tetragonal
Raw formation energy, meV/atom: 1068

Cell and atoms, written as CIF:
```
data_ScPtCS2
_chemical_formula_sum 'Sc1 Pt1 C1 S2'
_cell_length_a 4.835
_cell_length_b 4.835
_cell_length_c 4.212
_cell_angle_alpha 90.00
_cell_angle_beta 90.00
_cell_angle_gamma 90.00
_space_group_name_H-M_alt 'P 4/m m m'
_space_group_IT_number 123
_space_group_name_Hall '-P 4 2'
loop_
_atom_site_label
_atom_site_type_symbol
_atom_site_fract_x
_atom_site_fract_y
_atom_site_fract_z
Sc1 Sc 0.000 0.000 0.000
Pt1 Pt 0.500 0.500 0.500
C1 C 0.000 0.000 0.500
S1 S 0.000 0.500 0.000
```

[2]
A geometry-optimized BaCu2Te structure. Source: the Alexandria database, functional PBE.

M_tot, Bohr magnetons per cell: 0.0
Crystal system: cubic
Raw formation energy, meV/atom: 31

Cell and atoms, written as CIF:
```
data_BaCu2Te
_chemical_formula_sum 'Ba4 Cu8 Te4'
_cell_length_a 7.528
_cell_length_b 7.528
_cell_length_c 7.528
_cell_angle_alpha 90.00
_cell_angle_beta 90.00
_cell_angle_gamma 90.00
_space_group_name_H-M_alt 'F -4 3 m'
_space_group_IT_number 216
_space_group_name_Hall 'F -4 2 3'
loop_
_atom_site_label
_atom_site_type_symbol
_atom_site_fract_x
_atom_site_fract_y
_atom_site_fract_z
Ba1 Ba 0.000 0.000 0.000
Cu1 Cu 0.000 0.000 0.500
Cu2 Cu 0.250 0.250 0.750
Te1 Te 0.250 0.250 0.250
```

[3]
A geometry-optimized InSnSb structure. Source: the Alexandria database, functional PBE.

M_tot, Bohr magnetons per cell: 0.0
Polymorph energy (0 for the lowest one), meV/atom: 26
Crystal system: hexagonal
Raw formation energy, meV/atom: 24

Cell and atoms, written as CIF:
```
data_InSnSb
_chemical_formula_sum 'In2 Sn2 Sb2'
_cell_length_a 4.3127
_cell_length_b 4.3127
_cell_length_c 11.4696
_cell_angle_alpha 90.00
_cell_angle_beta 90.00
_cell_angle_gamma 120.00
_space_group_name_H-M_alt 'P 63 m c'
_space_group_IT_number 186
_space_group_name_Hall 'P 6c -2c'
loop_
_atom_site_label
_atom_site_type_symbol
_atom_site_fract_x
_atom_site_fract_y
_atom_site_fract_z
In1 In 0.0000 0.0000 0.0000
Sn1 Sn 0.3333 0.6667 0.1869
Sb1 Sb 0.3333 0.6667 0.8312
```

[4]
A geometry-optimized HoEr2PuN4 structure. Source: the Alexandria database, functional PBE.

M_tot, Bohr magnetons per cell: 4.7
Crystal system: monoclinic
Raw formation energy, meV/atom: -1625

Cell and atoms, written as CIF:
```
data_HoEr2PuN4
_chemical_formula_sum 'Ho1 Er2 Pu1 N4'
_cell_length_a 5.953
_cell_length_b 3.451
_cell_length_c 5.953
_cell_angle_alpha 90.00
_cell_angle_beta 109.39
_cell_angle_gamma 90.00
_space_group_name_H-M_alt 'P 1 2/m 1'
_space_group_IT_number 10
loop_
_space_group_symop_operation_xyz
'x,y,z'
'-x,-y,-z'
'-x,y,-z'
'x,-y,z'
loop_
_atom_site_label
_atom_site_type_symbol
_atom_site_fract_x
_atom_site_fract_y
_atom_site_fract_z
Ho1 Ho 0.000 0.000 0.000
Er1 Er 0.500 0.000 0.500
Er2 Er 0.500 0.500 0.000
Pu1 Pu 0.000 0.500 0.500
N1 N 0.248 0.000 0.746
N2 N 0.249 0.500 0.253
```